## A
VASP calculation (PBE-GGA) on an optimized crystal structure of Cr3Pb5.

Lattice parameters (Å, degrees): 6.328 8.117 8.201 85.59 75.71 76.56
Sites, in units of the cell vectors:
Cr 0.000 0.000 0.000
Cr 0.128 0.504 0.825
Cr 0.372 0.525 0.149
Cr 0.501 0.031 0.969
Cr 0.633 0.853 0.477
Cr 0.862 0.176 0.500
Pb 0.000 0.514 0.484
Pb 0.092 0.289 0.132
Pb 0.209 0.883 0.298
Pb 0.289 0.147 0.674
Pb 0.407 0.740 0.843
Pb 0.498 0.515 0.490
Pb 0.592 0.158 0.260
Pb 0.717 0.328 0.854
Pb 0.782 0.703 0.120
Pb 0.909 0.868 0.713

## B
VASP calculation (PBE-GGA) on an optimized crystal structure of Cr3Pb5.

Lattice parameters (Å, degrees): 8.485 8.485 6.398 90.00 90.00 120.00
Sites, in units of the cell vectors:
Cr 0.000 0.403 0.250
Cr 0.000 0.597 0.750
Cr 0.403 0.000 0.250
Cr 0.403 0.403 0.750
Cr 0.597 0.000 0.750
Cr 0.597 0.597 0.250
Pb 0.000 0.242 0.750
Pb 0.000 0.758 0.250
Pb 0.242 0.000 0.750
Pb 0.242 0.242 0.250
Pb 0.333 0.667 0.000
Pb 0.333 0.667 0.500
Pb 0.667 0.333 0.000
Pb 0.667 0.333 0.500
Pb 0.758 0.000 0.250
Pb 0.758 0.758 0.750

Order from most stable to least stable according to the calculation: A, B